Record 1
DFT (PBE) results for a relaxed PuInBiTe crystal.

Values from the calculation:
* formation energy without anion corrections: -0.274 eV per atom

CIF file:
```
data_PuInBiTe
_symmetry_space_group_name_H-M 'P 1'
_symmetry_Int_Tables_number 1
_symmetry_space_group_name_Hall 'P 1'
_cell_length_a 5.4930
_cell_length_b 5.4930
_cell_length_c 5.4930
_cell_angle_alpha 60.00
_cell_angle_beta 60.00
_cell_angle_gamma 60.00
loop_
_atom_site_label
_atom_site_type_symbol
_atom_site_fract_x
_atom_site_fract_y
_atom_site_fract_z
_atom_site_occupancy
Te1 Te 0.2500 0.2500 0.2500 1
Bi1 Bi 0.7500 0.7500 0.7500 1
Pu1 Pu 0.0000 0.0000 0.0000 1
In1 In 0.5000 0.5000 0.5000 1
```



Record 2
DFT (PBE) results for a relaxed PuThInBi crystal.

Values from the calculation:
* energy of formation from the pure elements: -0.20 eV/atom

CIF file:
```
data_PuThInBi
_symmetry_space_group_name_H-M 'P 1'
_symmetry_Int_Tables_number 1
_symmetry_space_group_name_Hall 'P 1'
_cell_length_a 5.4936
_cell_length_b 5.4936
_cell_length_c 5.4936
_cell_angle_alpha 60.00
_cell_angle_beta 60.00
_cell_angle_gamma 60.00
loop_
_atom_site_label
_atom_site_type_symbol
_atom_site_fract_x
_atom_site_fract_y
_atom_site_fract_z
_atom_site_occupancy
Pu1 Pu 0.5000 0.5000 0.5000 1
In1 In 0.2500 0.2500 0.2500 1
Bi1 Bi 0.7500 0.7500 0.7500 1
Th1 Th 0.0000 0.0000 0.0000 1
```



Record 3
DFT (PBE) results for a relaxed PuTlInBi crystal.

Values from the calculation:
* energy of formation from the pure elements: -0.21 eV/atom
* E above lowest polymorph: 0.000 eV per formula unit

CIF file:
```
data_PuTlInBi
_symmetry_space_group_name_H-M 'P 1'
_symmetry_Int_Tables_number 1
_symmetry_space_group_name_Hall 'P 1'
_cell_length_a 4.7276
_cell_length_b 4.6439
_cell_length_c 5.0463
_cell_angle_alpha 90.00
_cell_angle_beta 90.00
_cell_angle_gamma 90.00
loop_
_atom_site_label
_atom_site_type_symbol
_atom_site_fract_x
_atom_site_fract_y
_atom_site_fract_z
_atom_site_occupancy
In1 In 0.5000 0.5000 0.0000 1
Pu1 Pu 0.0000 0.5000 0.5000 1
Tl1 Tl 0.0000 0.0000 0.0000 1
Bi1 Bi 0.5000 0.0000 0.5000 1
```



Record 4
DFT (PBE) results for a relaxed PuTlInBi crystal.

Values from the calculation:
* energy of formation from the pure elements: -0.02 eV/atom
* E above lowest polymorph: 0.755 eV per formula unit

CIF file:
```
data_PuTlInBi
_symmetry_space_group_name_H-M 'P 1'
_symmetry_Int_Tables_number 1
_symmetry_space_group_name_Hall 'P 1'
_cell_length_a 5.4845
_cell_length_b 5.4845
_cell_length_c 5.4845
_cell_angle_alpha 60.00
_cell_angle_beta 60.00
_cell_angle_gamma 60.00
loop_
_atom_site_label
_atom_site_type_symbol
_atom_site_fract_x
_atom_site_fract_y
_atom_site_fract_z
_atom_site_occupancy
In1 In 0.2500 0.2500 0.2500 1
Pu1 Pu 0.7500 0.7500 0.7500 1
Bi1 Bi 0.5000 0.5000 0.5000 1
Tl1 Tl 0.0000 0.0000 0.0000 1
```



Record 5
DFT (PBE) results for a relaxed PuZnInBi crystal.

Values from the calculation:
* energy of formation from the pure elements: 0.00 eV/atom
* E above lowest polymorph: 0.794 eV per formula unit

CIF file:
```
data_PuZnInBi
_symmetry_space_group_name_H-M 'P 1'
_symmetry_Int_Tables_number 1
_symmetry_space_group_name_Hall 'P 1'
_cell_length_a 5.3105
_cell_length_b 5.3105
_cell_length_c 5.3105
_cell_angle_alpha 60.00
_cell_angle_beta 60.00
_cell_angle_gamma 60.00
loop_
_atom_site_label
_atom_site_type_symbol
_atom_site_fract_x
_atom_site_fract_y
_atom_site_fract_z
_atom_site_occupancy
In1 In 0.2500 0.2500 0.2500 1
Pu1 Pu 0.7500 0.7500 0.7500 1
Zn1 Zn 0.0000 0.0000 0.0000 1
Bi1 Bi 0.5000 0.5000 0.5000 1
```



Record 6
DFT (PBE) results for a relaxed PuZnInBi crystal.

Values from the calculation:
* energy of formation from the pure elements: -0.20 eV/atom
* E above lowest polymorph: 0.000 eV per formula unit

CIF file:
```
data_PuZnInBi
_symmetry_space_group_name_H-M 'P 1'
_symmetry_Int_Tables_number 1
_symmetry_space_group_name_Hall 'P 1'
_cell_length_a 4.5277
_cell_length_b 4.5337
_cell_length_c 4.8644
_cell_angle_alpha 90.00
_cell_angle_beta 90.00
_cell_angle_gamma 90.00
loop_
_atom_site_label
_atom_site_type_symbol
_atom_site_fract_x
_atom_site_fract_y
_atom_site_fract_z
_atom_site_occupancy
In1 In 0.5000 0.5000 0.0000 1
Bi1 Bi 0.0000 0.5000 0.5000 1
Pu1 Pu 0.5000 0.0000 0.5000 1
Zn1 Zn 0.0000 0.0000 0.0000 1
```



Record 7
DFT (PBE) results for a relaxed RbIn3Bi3 crystal.

Values from the calculation:
* energy of formation from the pure elements: -0.10 eV/atom

CIF file:
```
data_RbIn3Bi3
_symmetry_space_group_name_H-M 'P 1'
_symmetry_Int_Tables_number 1
_symmetry_space_group_name_Hall 'P 1'
_cell_length_a 8.6792
_cell_length_b 8.6792
_cell_length_c 10.3261
_cell_angle_alpha 65.15
_cell_angle_beta 65.15
_cell_angle_gamma 60.00
loop_
_atom_site_label
_atom_site_type_symbol
_atom_site_fract_x
_atom_site_fract_y
_atom_site_fract_z
_atom_site_occupancy
Bi1 Bi 0.2331 0.5848 0.2749 1
Bi2 Bi 0.5848 0.9072 0.2749 1
Bi3 Bi 0.7669 0.4152 0.7251 1
Bi4 Bi 0.4152 0.0928 0.7251 1
Bi5 Bi 0.9072 0.2331 0.2749 1
Bi6 Bi 0.0928 0.7669 0.7251 1
In1 In 0.2150 0.8745 0.3814 1
In2 In 0.5291 0.2150 0.3814 1
In3 In 0.7850 0.1255 0.6186 1
In4 In 0.8745 0.5291 0.3814 1
In5 In 0.1255 0.4709 0.6186 1
In6 In 0.4709 0.7850 0.6186 1
Rb1 Rb 0.3330 0.3330 0.0011 1
Rb2 Rb 0.6670 0.6670 0.9989 1
```



Record 8
DFT (PBE) results for a relaxed Rb2In15Bi2 crystal.

Values from the calculation:
* energy of formation from the pure elements: -0.02 eV/atom

CIF file:
```
data_Rb2In15Bi2
_symmetry_space_group_name_H-M 'P 1'
_symmetry_Int_Tables_number 1
_symmetry_space_group_name_Hall 'P 1'
_cell_length_a 8.4643
_cell_length_b 8.4643
_cell_length_c 8.4643
_cell_angle_alpha 81.67
_cell_angle_beta 81.67
_cell_angle_gamma 81.67
loop_
_atom_site_label
_atom_site_type_symbol
_atom_site_fract_x
_atom_site_fract_y
_atom_site_fract_z
_atom_site_occupancy
In1 In 0.2896 0.7104 0.0000 1
In2 In 0.0000 0.2896 0.7104 1
In3 In 0.3569 0.3569 0.8499 1
In4 In 0.3569 0.8499 0.3569 1
In5 In 0.7104 0.2896 0.0000 1
In6 In 0.6431 0.6431 0.1501 1
In7 In 0.6431 0.1501 0.6431 1
In8 In 0.2896 0.0000 0.7104 1
In9 In 0.0000 0.7104 0.2896 1
In10 In 0.7104 0.0000 0.2896 1
In11 In 0.1501 0.6431 0.6431 1
In12 In 0.5000 0.0000 0.0000 1
In13 In 0.8499 0.3569 0.3569 1
In14 In 0.0000 0.5000 0.0000 1
In15 In 0.0000 0.0000 0.5000 1
Rb1 Rb 0.6538 0.6538 0.6538 1
Rb2 Rb 0.3462 0.3462 0.3462 1
Bi1 Bi 0.1140 0.1140 0.1140 1
Bi2 Bi 0.8860 0.8860 0.8860 1
```